TbInRh after structural relaxation. Source: Alexandria, functional PBE.

Output
DOS at the Fermi energy	1.9	states/eV/f.u.
ΔE_f	-0.5500	eV per atom
symmetry	P-6m2 (187)

a = 3.430 Å, b = 4.698 Å, c = 4.698 Å
α = 120.00°, β = 90.00°, γ = 90.00°
Sites, in units of the cell vectors:
Rh1 0.167 0.333 0.667
Tb1 0.667 0.667 0.333
In1 0.167 0.000 0.000